--- w ---
Here is a relaxed V6Ru5Rh crystal from Alexandria via LeMat-Bulk. Energies are from GGA-PBE.

a b c (Å): 4.0957 6.5264 6.4868
angles (deg): 90.00 108.23 90.00
Space group P2/m (No. 10)
One atom of each set of equivalent atoms:
1 V 0.0000 0.2424 0.0000
2 V 0.3318 0.2489 0.6634
3 Ru 0.1626 0.5000 0.3252
4 Ru 0.1674 0.0000 0.3350
5 Ru 0.5000 0.0000 0.0000
6 Rh 0.5000 0.5000 0.0000

The total magnetic moment comes out at 0.01 Bohr magnetons per cell.



--- x ---
Here is a relaxed V6Ru5Rh crystal from Alexandria via LeMat-Bulk. Energies are from GGA-PBE.

a b c (Å): 13.3598 5.8230 4.3600
angles (deg): 90.00 103.79 90.00
Space group C2/m (No. 12)
One atom of each set of equivalent atoms:
1 V 0.0000 0.2459 0.0000
2 V 0.1779 0.2499 0.6299
3 Ru 0.0000 0.0000 0.5000
4 Ru 0.1558 0.5000 0.1142
5 Ru 0.1575 0.0000 0.1135
6 Rh 0.0000 0.5000 0.5000

The total magnetic moment comes out at 2.42 Bohr magnetons per cell.



Most stable of them? x.



--- w ---
Here is a relaxed V6RuRh5 crystal from Alexandria via LeMat-Bulk. Energies are from GGA-PBE.

a b c (Å): 8.7874 8.1561 4.6999
angles (deg): 90.00 100.11 90.00
Space group C2/m (No. 12)
One atom of each set of equivalent atoms:
1 V 0.2490 0.0000 0.2552
2 V 0.2492 0.3330 0.2485
3 Ru 0.0000 0.0000 0.5000
4 Rh 0.0000 0.1661 0.0000
5 Rh 0.0000 0.3325 0.5000
6 Rh 0.0000 0.5000 0.0000

The total magnetic moment comes out at 0.00 Bohr magnetons per cell.



--- x ---
Here is a relaxed V6RuRh5 crystal from Alexandria via LeMat-Bulk. Energies are from GGA-PBE.

a b c (Å): 4.5468 5.5169 6.5986
angles (deg): 90.00 94.48 90.00
Space group P2/m (No. 10)
One atom of each set of equivalent atoms:
1 V 0.0000 0.2484 0.0000
2 V 0.3358 0.2481 0.6697
3 Ru 0.5000 0.0000 0.0000
4 Rh 0.1656 0.0000 0.3356
5 Rh 0.1666 0.5000 0.3341
6 Rh 0.5000 0.5000 0.0000

The total magnetic moment comes out at 0.00 Bohr magnetons per cell.



Most stable of them? x.



--- w ---
Here is a relaxed V3RuRh crystal from Alexandria via LeMat-Bulk. Energies are from GGA-PBE.

a b c (Å): 14.5009 2.8913 6.8868
angles (deg): 90.00 105.67 90.00
Space group C2/m (No. 12)
One atom of each set of equivalent atoms:
1 V 0.0440 0.0000 0.2479
2 V 0.1862 0.5000 0.4020
3 V 0.2458 0.0000 0.1557
4 Ru 0.1062 0.0000 0.6196
5 Rh 0.0940 0.5000 0.9751

The total magnetic moment comes out at 0.00 Bohr magnetons per cell.



--- x ---
Here is a relaxed V3RuRh crystal from Alexandria via LeMat-Bulk. Energies are from GGA-PBE.

a b c (Å): 4.4586 4.4586 4.4586
angles (deg): 90.00 90.00 90.00
Space group Pm-3m (No. 221)
One atom of each set of equivalent atoms:
1 V 0.0000 0.0000 0.5000
2 Ru 0.0000 0.0000 0.0000
3 Rh 0.5000 0.5000 0.5000

The total magnetic moment comes out at 0.00 Bohr magnetons per cell.



Most stable of them? w.



--- w ---
Here is a relaxed VRuRhW crystal from Alexandria via LeMat-Bulk. Energies are from GGA-PBE.

a b c (Å): 4.0947 4.0947 13.3445
angles (deg): 90.00 90.00 120.00
Space group R3m (No. 160, hexagonal axes)
One atom of each set of equivalent atoms:
1 V 0.0000 0.0000 0.0000
2 Ru 0.0000 0.0000 0.6018
3 Rh 0.0000 0.0000 0.4008
4 W 0.0000 0.0000 0.1941

The total magnetic moment comes out at 0.00 Bohr magnetons per cell.



--- x ---
Here is a relaxed VRuRhW crystal from Alexandria via LeMat-Bulk. Energies are from GGA-PBE.

a b c (Å): 6.1534 6.1534 6.1534
angles (deg): 90.00 90.00 90.00
Space group F-43m (No. 216)
One atom of each set of equivalent atoms:
1 V 0.0000 0.0000 0.0000
2 Ru 0.0000 0.0000 0.5000
3 Rh 0.2500 0.2500 0.7500
4 W 0.2500 0.2500 0.2500

The total magnetic moment comes out at 2.20 Bohr magnetons per cell.



Most stable of them? x.



--- w ---
Here is a relaxed Ru3RhW crystal from Alexandria via LeMat-Bulk. Energies are from GGA-PBE.

a b c (Å): 4.5569 4.5569 4.5569
angles (deg): 90.00 90.00 90.00
Space group Pm-3m (No. 221)
One atom of each set of equivalent atoms:
1 Ru 0.0000 0.0000 0.5000
2 Rh 0.0000 0.0000 0.0000
3 W 0.5000 0.5000 0.5000

The total magnetic moment comes out at 0.00 Bohr magnetons per cell.



--- x ---
Here is a relaxed Ru3RhW crystal from Alexandria via LeMat-Bulk. Energies are from GGA-PBE.

a b c (Å): 4.6370 4.6370 4.6370
angles (deg): 90.00 90.00 90.00
Space group Pm-3m (No. 221)
One atom of each set of equivalent atoms:
1 Ru 0.0000 0.0000 0.5000
2 Rh 0.5000 0.5000 0.5000
3 W 0.0000 0.0000 0.0000

The total magnetic moment comes out at 3.45 Bohr magnetons per cell.



--- y ---
Here is a relaxed Ru3RhW crystal from Alexandria via LeMat-Bulk. Energies are from GGA-PBE.

a b c (Å): 5.2163 5.2163 12.6559
angles (deg): 90.00 90.00 120.00
Space group R-3m (No. 166, hexagonal axes)
One atom of each set of equivalent atoms:
1 Ru 0.0000 0.5000 0.0000
2 Rh 0.0000 0.0000 0.5000
3 W 0.0000 0.0000 0.0000

The total magnetic moment comes out at 4.86 Bohr magnetons per cell.



Most stable of them? y.



--- w ---
Here is a relaxed Ru4RhW crystal from Alexandria via LeMat-Bulk. Energies are from GGA-PBE.

a b c (Å): 5.4344 14.9395 4.3050
angles (deg): 90.00 90.00 90.00
Space group Cmcm (No. 63)
One atom of each set of equivalent atoms:
1 Ru 0.2465 0.0426 0.2500
2 Ru 0.2483 0.2082 0.2500
3 Rh 0.0000 0.1271 0.7500
4 W 0.0000 0.3793 0.2500

The total magnetic moment comes out at 0.00 Bohr magnetons per cell.



--- x ---
Here is a relaxed Ru4RhW crystal from Alexandria via LeMat-Bulk. Energies are from GGA-PBE.

a b c (Å): 7.1140 7.1140 7.1140
angles (deg): 90.00 90.00 90.00
Space group F-43m (No. 216)
One atom of each set of equivalent atoms:
1 Ru 0.1242 0.1242 0.3758
2 Rh 0.2500 0.2500 0.7500
3 W 0.0000 0.0000 0.0000

The total magnetic moment comes out at 0.02 Bohr magnetons per cell.



Most stable of them? w.



--- w ---
Here is a relaxed RuRh4W crystal from Alexandria via LeMat-Bulk. Energies are from GGA-PBE.

a b c (Å): 7.1120 7.1120 7.1120
angles (deg): 90.00 90.00 90.00
Space group F-43m (No. 216)
One atom of each set of equivalent atoms:
1 Ru 0.0000 0.0000 0.0000
2 Rh 0.1254 0.1254 0.3746
3 W 0.2500 0.2500 0.7500

The total magnetic moment comes out at 0.01 Bohr magnetons per cell.



--- x ---
Here is a relaxed RuRh4W crystal from Alexandria via LeMat-Bulk. Energies are from GGA-PBE.

a b c (Å): 5.2331 14.5323 4.6820
angles (deg): 90.00 90.50 90.00
Space group C2/c (No. 15)
One atom of each set of equivalent atoms:
1 Ru 0.0000 0.1396 0.2500
2 Rh 0.2449 0.0276 0.8748
3 Rh 0.2492 0.1999 0.7323
4 W 0.0000 0.3612 0.7500

The total magnetic moment comes out at 0.00 Bohr magnetons per cell.



--- y ---
Here is a relaxed RuRh4W crystal from Alexandria via LeMat-Bulk. Energies are from GGA-PBE.

a b c (Å): 5.2442 5.2534 7.8891
angles (deg): 100.20 100.00 117.53
Space group P-1 (No. 2)
One atom of each set of equivalent atoms:
1 Ru 0.1051 0.3550 0.2500
2 Rh 0.0380 0.2856 0.5684
3 Rh 0.2241 0.4743 0.9475
4 Rh 0.2794 0.0268 0.0684
5 Rh 0.4756 0.2261 0.4476
6 W 0.3437 0.0934 0.7499

The total magnetic moment comes out at 0.00 Bohr magnetons per cell.



Most stable of them? y.



--- w ---
Here is a relaxed Ru3Rh3W2 crystal from Alexandria via LeMat-Bulk. Energies are from GGA-PBE.

a b c (Å): 6.9513 6.9513 8.5752
angles (deg): 90.00 90.00 120.00
Space group R32 (No. 155, hexagonal axes)
One atom of each set of equivalent atoms:
1 Ru 0.0000 0.2588 0.0000
2 Rh 0.0000 0.7622 0.5000
3 W 0.0000 0.0000 0.2463

The total magnetic moment comes out at 0.00 Bohr magnetons per cell.



--- x ---
Here is a relaxed Ru3Rh3W2 crystal from Alexandria via LeMat-Bulk. Energies are from GGA-PBE.

a b c (Å): 3.8631 3.9004 7.6605
angles (deg): 90.00 90.00 90.00
Space group Pmmm (No. 47)
One atom of each set of equivalent atoms:
1 Ru 0.0000 0.0000 0.0000
2 Ru 0.0000 0.0000 0.5000
3 Ru 0.5000 0.5000 0.0000
4 Rh 0.0000 0.5000 0.2507
5 Rh 0.5000 0.5000 0.5000
6 W 0.5000 0.0000 0.2476

The total magnetic moment comes out at 0.00 Bohr magnetons per cell.



Most stable of them? x.



--- w ---
Here is a relaxed RuRh6W crystal from Alexandria via LeMat-Bulk. Energies are from GGA-PBE.

a b c (Å): 5.4490 5.4490 3.8574
angles (deg): 90.00 90.00 90.00
Space group P4/mmm (No. 123)
One atom of each set of equivalent atoms:
1 Ru 0.0000 0.0000 0.0000
2 Rh 0.0000 0.5000 0.0000
3 Rh 0.2506 0.2506 0.5000
4 W 0.5000 0.5000 0.0000

The total magnetic moment comes out at 0.00 Bohr magnetons per cell.



--- x ---
Here is a relaxed RuRh6W crystal from Alexandria via LeMat-Bulk. Energies are from GGA-PBE.

a b c (Å): 7.2465 7.2465 8.9989
angles (deg): 90.00 90.00 120.00
Space group R-3m (No. 166, hexagonal axes)
One atom of each set of equivalent atoms:
1 Ru 0.0000 0.0000 0.0000
2 Rh 0.0747 0.5374 0.3672
3 W 0.0000 0.0000 0.5000

The total magnetic moment comes out at 0.02 Bohr magnetons per cell.



Most stable of them? w.



--- w ---
Here is a relaxed YRuRh crystal from Alexandria via LeMat-Bulk. Energies are from GGA-PBE.

a b c (Å): 3.0226 3.7968 9.7464
angles (deg): 90.00 90.00 90.00
Space group Imm2 (No. 44)
One atom of each set of equivalent atoms:
1 Y 0.0000 0.0000 0.0000
2 Ru 0.0000 0.0000 0.3004
3 Rh 0.0000 0.0000 0.7014

The total magnetic moment comes out at 0.00 Bohr magnetons per cell.



--- x ---
Here is a relaxed YRuRh crystal from Alexandria via LeMat-Bulk. Energies are from GGA-PBE.

a b c (Å): 6.2799 6.2799 6.2799
angles (deg): 90.00 90.00 90.00
Space group F-43m (No. 216)
One atom of each set of equivalent atoms:
1 Y 0.0000 0.0000 0.0000
2 Ru 0.2500 0.2500 0.7500
3 Rh 0.0000 0.0000 0.5000

The total magnetic moment comes out at 0.00 Bohr magnetons per cell.



--- y ---
Here is a relaxed YRuRh crystal from Alexandria via LeMat-Bulk. Energies are from GGA-PBE.

a b c (Å): 3.1644 3.1644 6.4533
angles (deg): 90.00 90.00 120.00
Space group P3m1 (No. 156)
One atom of each set of equivalent atoms:
1 Y 0.0000 0.0000 0.0000
2 Ru 0.3333 0.6667 0.6535
3 Rh 0.6667 0.3333 0.3481

The total magnetic moment comes out at 0.66 Bohr magnetons per cell.



Most stable of them? w.



--- w ---
Here is a relaxed YRuRh crystal from Alexandria via LeMat-Bulk. Energies are from GGA-PBE.

a b c (Å): 6.3056 6.3056 6.3056
angles (deg): 90.00 90.00 90.00
Space group F-43m (No. 216)
One atom of each set of equivalent atoms:
1 Y 0.0000 0.0000 0.0000
2 Ru 0.2500 0.2500 0.2500
3 Rh 0.2500 0.2500 0.7500

The total magnetic moment comes out at 0.01 Bohr magnetons per cell.



--- x ---
Here is a relaxed YRuRh crystal from Alexandria via LeMat-Bulk. Energies are from GGA-PBE.

a b c (Å): 8.5619 5.5686 4.9221
angles (deg): 90.00 107.23 90.00
Space group C2/m (No. 12)
One atom of each set of equivalent atoms:
1 Y 0.1360 0.0000 0.3667
2 Ru 0.0147 0.5000 0.2669
3 Rh 0.2500 0.2500 0.0000

The total magnetic moment comes out at 0.00 Bohr magnetons per cell.



Most stable of them? x.